Entry w
Material: Cs2HgAs2
Method: DFT, PBEsol
State: relaxed

Fermi-level density of states, states/eV per cell: 3.19

Cell: 6.5041 6.5041 6.5041 Å, 95.94 116.63 116.63°
Element x y z (fractional)
Cs  0.5000  0.7500  0.2500
Cs  0.5000  0.2500  0.7500
As  0.0000  0.6317  0.6317
As  0.0000  0.3683  0.3683
Hg  0.0000  0.0000  0.0000



Entry x
Material: Cs2HgAs2
Method: DFT, PBEsol
State: relaxed

Fermi-level density of states, states/eV per cell: 3.38

Cell: 3.8262 3.8262 11.8940 Å, 99.26 99.26 90.00°
Element x y z (fractional)
Cs  0.3801  0.3801  0.7601
Cs  0.6199  0.6199  0.2399
As  0.2500  0.7500  0.5000
As  0.7500  0.2500  0.5000
Hg  0.0000  0.0000  0.0000



Pick the least stable structure from those above. Pick: entry x